Record 1
Computed, not measured: crystalline Pa3Ir2Rh2 at its relaxed geometry at the PBE level of DFT.

Values from the calculation:
Mass density in g cm⁻³: 14.8
SG: No. 199
Magnetic moment in μB/f.u.: 0.00
Energy of formation in eV per formula unit: -5.566
D(E_F) in states/eV per atom: 0.92

a b c (Å): 7.2011 7.2011 7.2011
angles (deg): 109.47 109.47 109.47
Atoms (fractional coordinates):
Pa 0.1259 0.7500 0.8759
Pa 0.2500 0.6241 0.3741
Pa 0.3741 0.2500 0.6241
Pa 0.6241 0.3741 0.2500
Pa 0.7500 0.8759 0.1259
Pa 0.8759 0.1259 0.7500
Ir 0.0000 0.3410 0.5000
Ir 0.1590 0.1590 0.1590
Ir 0.3410 0.5000 0.0000
Ir 0.5000 0.0000 0.3410
Rh 0.0000 0.8376 0.5000
Rh 0.5000 0.0000 0.8376
Rh 0.6624 0.6624 0.6624
Rh 0.8376 0.5000 0.0000

---

Record 2
Computed, not measured: crystalline Zr2TaBi at its relaxed geometry at the PBE level of DFT.

Values from the calculation:
Mass density in g cm⁻³: 9.9
SG: No. 122
Magnetic moment in μB/f.u.: 0.00
Energy of formation in eV per formula unit: 2.166
D(E_F) in states/eV per atom: 1.22

a b c (Å): 6.4029 6.4029 6.4029
angles (deg): 102.53 102.53 124.49
Atoms (fractional coordinates):
Zr 0.1063 0.6250 0.9813
Zr 0.3750 0.3563 0.4813
Zr 0.6437 0.1250 0.0187
Zr 0.8750 0.8937 0.5187
Ta 0.0000 0.0000 0.0000
Ta 0.7500 0.2500 0.5000
Bi 0.2500 0.7500 0.5000
Bi 0.5000 0.5000 0.0000

---

Record 3
Computed, not measured: crystalline RbCCl2 at its relaxed geometry at the PBE level of DFT.

Values from the calculation:
Mass density in g cm⁻³: 2.4
SG: No. 141
Magnetic moment in μB/f.u.: 0.99
Formation energy from raw total energies in eV per atom: 0.42
D(E_F) in states/eV per atom: 0.24

a b c (Å): 7.1020 7.1020 7.1020
angles (deg): 124.77 124.77 81.92
Atoms (fractional coordinates):
Rb 0.3750 0.6250 0.7500
Rb 0.6250 0.3750 0.2500
C 0.1250 0.8750 0.2500
C 0.8750 0.1250 0.7500
Cl 0.0000 0.0000 0.0000
Cl 0.0000 0.0000 0.5000
Cl 0.0000 0.5000 0.0000
Cl 0.5000 0.0000 0.5000

---

Record 4
Computed, not measured: crystalline Sr6PN at its relaxed geometry at the PBE level of DFT.

Values from the calculation:
Mass density in g cm⁻³: 3.0
SG: No. 12
Magnetic moment in μB/f.u.: 0.00
Formation energy from raw total energies in eV per atom: -0.47
D(E_F) in states/eV per atom: 0.83

a b c (Å): 7.4237 7.4237 7.0345
angles (deg): 98.44 98.44 121.74
Atoms (fractional coordinates):
Sr 0.0697 0.3608 0.2380
Sr 0.2409 0.2409 0.7752
Sr 0.3608 0.0697 0.2380
Sr 0.6392 0.9303 0.7620
Sr 0.7591 0.7591 0.2248
Sr 0.9303 0.6392 0.7620
P 0.5000 0.5000 0.5000
N 0.0000 0.0000 0.0000

---

Record 5
Computed, not measured: crystalline HfWC2 at its relaxed geometry at the PBE level of DFT.

Values from the calculation:
Mass density in g cm⁻³: 14.1
SG: No. 166
Magnetic moment in μB/f.u.: 0.00
Energy of formation in eV per formula unit: -1.749
D(E_F) in states/eV per atom: 0.22

a b c (Å): 5.5251 5.5251 5.5251
angles (deg): 33.39 33.39 33.39
Atoms (fractional coordinates):
Hf 0.0000 0.0000 0.0000
W 0.5000 0.5000 0.5000
C 0.2462 0.2462 0.2462
C 0.7538 0.7538 0.7538

---

Record 6
Computed, not measured: crystalline SiMo2P at its relaxed geometry at the PBE level of DFT.

Values from the calculation:
Mass density in g cm⁻³: 7.2
SG: No. 166
Magnetic moment in μB/f.u.: 0.00
Formation energy from raw total energies in eV per atom: -0.09
D(E_F) in states/eV per atom: 0.91

a b c (Å): 7.8578 7.8578 7.8578
angles (deg): 21.72 21.72 21.72
Atoms (fractional coordinates):
Si 0.0000 0.0000 0.0000
Mo 0.2460 0.2460 0.2460
Mo 0.7540 0.7540 0.7540
P 0.5000 0.5000 0.5000

---

Record 7
Computed, not measured: crystalline Pm6HoTm at its relaxed geometry at the PBE level of DFT.

Values from the calculation:
Mass density in g cm⁻³: 7.5
SG: No. 123
Magnetic moment in μB/f.u.: 0.00
Energy of formation in eV per formula unit: 0.132
D(E_F) in states/eV per atom: 1.58

a b c (Å): 5.1098 5.1098 10.2187
angles (deg): 90.00 90.00 90.00
Atoms (fractional coordinates):
Pm 0.0000 0.0000 0.0000
Pm 0.0000 0.0000 0.5000
Pm 0.0000 0.5000 0.2495
Pm 0.0000 0.5000 0.7505
Pm 0.5000 0.0000 0.2495
Pm 0.5000 0.0000 0.7505
Ho 0.5000 0.5000 0.5000
Tm 0.5000 0.5000 0.0000

---

Record 8
Computed, not measured: crystalline La15Pm4Y at its relaxed geometry at the PBE level of DFT.

Values from the calculation:
Mass density in g cm⁻³: 6.4
SG: No. 123
Magnetic moment in μB/f.u.: 0.00
Energy of formation in eV per formula unit: 0.205
D(E_F) in states/eV per atom: 1.71

a b c (Å): 5.2361 5.2361 26.2461
angles (deg): 90.00 90.00 90.00
Atoms (fractional coordinates):
La 0.0000 0.0000 0.0000
La 0.0000 0.0000 0.1999
La 0.0000 0.0000 0.4000
La 0.0000 0.0000 0.6000
La 0.0000 0.0000 0.8001
La 0.0000 0.5000 0.0997
La 0.0000 0.5000 0.2997
La 0.0000 0.5000 0.5000
La 0.0000 0.5000 0.7003
La 0.0000 0.5000 0.9003
La 0.5000 0.0000 0.0997
La 0.5000 0.0000 0.2997
La 0.5000 0.0000 0.5000
La 0.5000 0.0000 0.7003
La 0.5000 0.0000 0.9003
Pm 0.5000 0.5000 0.1995
Pm 0.5000 0.5000 0.3999
Pm 0.5000 0.5000 0.6001
Pm 0.5000 0.5000 0.8005
Y 0.5000 0.5000 0.0000

---

Record 9
Computed, not measured: crystalline Rb2Ga2Bi at its relaxed geometry at the PBE level of DFT.

Values from the calculation:
Mass density in g cm⁻³: 4.5
SG: No. 12
Magnetic moment in μB/f.u.: 0.00
Energy of formation in eV per formula unit: -0.294
D(E_F) in states/eV per atom: 0.33

a b c (Å): 6.9599 6.9599 9.2327
angles (deg): 97.20 97.20 117.70
Atoms (fractional coordinates):
Rb 0.0803 0.4064 0.3013
Rb 0.4064 0.0803 0.3013
Rb 0.5936 0.9197 0.6987
Rb 0.9197 0.5936 0.6987
Ga 0.1227 0.1227 0.9134
Ga 0.2847 0.2847 0.6980
Ga 0.7153 0.7153 0.3020
Ga 0.8773 0.8773 0.0866
Bi 0.3680 0.6320 0.0000
Bi 0.6320 0.3680 0.0000

---

Record 10
Computed, not measured: crystalline LaBe2Si2 at its relaxed geometry at the PBE level of DFT.

Values from the calculation:
Mass density in g cm⁻³: 4.4
SG: No. 139
Magnetic moment in μB/f.u.: 0.00
Formation energy from raw total energies in eV per atom: -0.37
D(E_F) in states/eV per atom: 0.46

a b c (Å): 5.6890 5.6890 5.6890
angles (deg): 138.47 138.47 60.18
Atoms (fractional coordinates):
La 0.0000 0.0000 0.0000
Be 0.2500 0.7500 0.5000
Be 0.7500 0.2500 0.5000
Si 0.3716 0.3716 0.0000
Si 0.6284 0.6284 0.0000

---

Record 11
Computed, not measured: crystalline Er2TmThBi5 at its relaxed geometry at the PBE level of DFT.

Values from the calculation:
Mass density in g cm⁻³: 7.6
SG: No. 123
Magnetic moment in μB/f.u.: 0.00
Energy of formation in eV per formula unit: 2.556
D(E_F) in states/eV per atom: 0.77

a b c (Å): 5.7262 5.7262 11.8628
angles (deg): 90.00 90.00 90.00
Atoms (fractional coordinates):
Er 0.0000 0.0000 0.2323
Er 0.0000 0.0000 0.7677
Tm 0.5000 0.5000 0.5000
Th 0.5000 0.5000 0.0000
Bi 0.0000 0.0000 0.5000
Bi 0.0000 0.5000 0.0000
Bi 0.5000 0.0000 0.0000
Bi 0.5000 0.5000 0.2596
Bi 0.5000 0.5000 0.7404

---

Record 12
Computed, not measured: crystalline LiAl2Cd2Ag5 at its relaxed geometry at the PBE level of DFT.

Values from the calculation:
Mass density in g cm⁻³: 7.3
SG: No. 127
Magnetic moment in μB/f.u.: 0.00
Energy of formation in eV per formula unit: -0.359
D(E_F) in states/eV per atom: 0.27

a b c (Å): 9.4721 9.4721 4.1654
angles (deg): 90.00 90.00 90.00
Atoms (fractional coordinates):
Li 0.0000 0.0000 0.0000
Li 0.5000 0.5000 0.0000
Al 0.1206 0.3794 0.0000
Al 0.3794 0.8794 0.0000
Al 0.6206 0.1206 0.0000
Al 0.8794 0.6206 0.0000
Cd 0.1763 0.6763 0.0000
Cd 0.3237 0.1763 0.0000
Cd 0.6763 0.8237 0.0000
Cd 0.8237 0.3237 0.0000
Ag 0.0000 0.5000 0.5000
Ag 0.0720 0.1994 0.5000
Ag 0.1994 0.9280 0.5000
Ag 0.3006 0.4280 0.5000
Ag 0.4280 0.6994 0.5000
Ag 0.5000 0.0000 0.5000
Ag 0.5720 0.3006 0.5000
Ag 0.6994 0.5720 0.5000
Ag 0.8006 0.0720 0.5000
Ag 0.9280 0.8006 0.5000